Record 1
An optimized crystal structure of Ca3As4Rh4, computed with PBE.

POSCAR file:
```
Ca3As4Rh4
1.0
-3.822 3.822 3.822
3.822 -3.822 3.822
3.822 3.822 -3.822
Ca As Rh
3 4 4
Cartesian
3.822 0.000 0.000
0.000 3.822 0.000
0.000 0.000 3.822
2.437 2.437 -2.437
2.437 -2.437 2.437
1.385 1.385 1.385
-2.437 2.437 2.437
1.087 1.087 -1.087
1.087 -1.087 1.087
-1.087 1.087 1.087
2.736 2.736 2.736
```

Summary:
- E_tot (Ha/atom) = -0.209
- volume (Å³/atom) = 20.3
- distance to the lowest polymorph of the same formula (kJ/mol of formula units) = 49
- DFT formation energy (eV/atom) = -0.78
- SG = I-43m

=====

Record 2
An optimized crystal structure of Ca3As5Rh6, computed with PBE.

POSCAR file:
```
Ca3As5Rh6
1.0
4.020 0.000 0.000
0.000 12.648 0.000
0.000 0.000 10.003
Ca As Rh
6 10 12
Cartesian
1.005 1.192 2.501
1.005 5.132 2.501
1.005 9.486 2.392
3.015 3.162 7.611
3.015 7.516 7.502
3.015 11.456 7.502
1.005 0.963 6.547
1.005 5.361 6.547
1.005 7.974 9.812
1.005 9.486 6.250
1.005 10.998 9.812
3.015 1.650 0.190
3.015 3.162 3.753
3.015 4.674 0.190
3.015 7.287 3.456
3.015 11.685 3.456
1.005 0.620 9.011
1.005 3.162 0.096
1.005 3.162 5.197
1.005 5.704 9.011
1.005 7.368 4.913
1.005 11.604 4.913
3.015 1.044 5.089
3.015 5.280 5.089
3.015 6.944 0.992
3.015 9.486 4.806
3.015 9.486 9.907
3.015 12.028 0.992
```

Summary:
- E_tot (Ha/atom) = -0.222
- volume (Å³/atom) = 18.2
- DFT formation energy (eV/atom) = -0.81
- SG = Pmmn

=====

Record 3
An optimized crystal structure of Ca2AsRh, computed with PBE.

POSCAR file:
```
Ca2AsRh
1.0
-2.327 2.327 3.920
2.327 -2.327 3.920
2.327 2.327 -3.920
Ca As Rh
2 1 1
Cartesian
2.327 0.000 1.960
0.000 2.327 1.960
0.000 0.000 0.000
0.000 0.000 3.920
```

Summary:
- E_tot (Ha/atom) = -0.169
- volume (Å³/atom) = 21.2
- DFT formation energy (eV/atom) = -0.60
- SG = I4/mmm

=====

Record 4
An optimized crystal structure of CaAs4Rh, computed with PBE.

POSCAR file:
```
CaAs4Rh
1.0
0.000 3.918 3.918
3.918 0.000 3.918
3.918 3.918 0.000
Ca As Rh
1 4 1
Cartesian
0.000 0.000 0.000
2.941 2.941 2.941
4.894 4.894 2.941
4.894 2.941 4.894
2.941 4.894 4.894
5.876 5.876 5.876
```

Summary:
- E_tot (Ha/atom) = -0.168
- volume (Å³/atom) = 20.0
- DFT formation energy (eV/atom) = 0.07
- SG = F-43m

=====

Record 5
An optimized crystal structure of Ca2AsRh, computed with PBE.

POSCAR file:
```
Ca2AsRh
1.0
3.563 0.000 0.000
0.000 3.869 0.000
0.000 0.000 6.195
Ca As Rh
2 1 1
Cartesian
0.000 0.000 1.543
0.000 0.000 4.652
1.782 1.935 0.000
1.782 1.935 3.098
```

Summary:
- E_tot (Ha/atom) = -0.168
- volume (Å³/atom) = 21.4
- DFT formation energy (eV/atom) = -0.58
- SG = Pmmm

=====

Record 6
An optimized crystal structure of Ca2AsRh, computed with PBE.

POSCAR file:
```
Ca2AsRh
1.0
5.862 0.000 0.000
0.000 3.948 0.000
-2.339 0.000 8.205
Ca As Rh
4 2 2
Cartesian
0.210 0.987 3.500
1.489 2.961 0.548
2.034 0.987 7.657
3.313 2.961 4.705
0.402 2.961 5.882
3.121 0.987 2.323
-0.985 0.987 6.402
4.508 2.961 1.804
```

Summary:
- E_tot (Ha/atom) = -0.176
- volume (Å³/atom) = 23.7
- DFT formation energy (eV/atom) = -0.78
- SG = P2_1/m

=====

Record 7
An optimized crystal structure of CaAsRh, computed with PBE.

POSCAR file:
```
CaAsRh
1.0
-1.695 1.695 5.157
1.695 -1.695 5.157
1.695 1.695 -5.157
Ca As Rh
1 1 1
Cartesian
0.000 0.000 0.000
0.000 0.000 7.246
0.000 0.000 3.032
```

Summary:
- E_tot (Ha/atom) = -0.194
- volume (Å³/atom) = 19.7
- DFT formation energy (eV/atom) = -0.62
- SG = I4mm

=====

Record 8
An optimized crystal structure of CaAs2Rh, computed with PBE.

POSCAR file:
```
CaAs2Rh
1.0
4.472 0.000 0.000
0.000 4.348 0.000
-1.113 0.000 4.656
Ca As Rh
1 2 1
Cartesian
0.000 0.000 0.000
1.183 0.000 2.759
2.528 2.174 1.386
0.172 2.174 2.432
```

Summary:
- E_tot (Ha/atom) = -0.190
- volume (Å³/atom) = 22.6
- DFT formation energy (eV/atom) = -0.50
- SG = Pm